1.
TaGa2Se | GGA-PBE | optimized geometry

Cell and atoms, written as POSCAR:
```
TaGa2Se
1.0
-3.8039 3.8039 2.6562
3.8039 -3.8039 2.6562
3.8039 3.8039 -2.6562
Ta Ga Se
2 4 2
direct
0.0000 0.0000 0.0000
0.7500 0.2500 0.5000
0.1141 0.6250 0.9891
0.3750 0.3641 0.4891
0.6359 0.1250 0.0109
0.8750 0.8859 0.5109
0.2500 0.7500 0.5000
0.5000 0.5000 0.0000
```

Computed properties:
For the uncorrected formation energy, the calculation gives 0.301 eV/atom.

---

2.
Rb2In3Sn4 | GGA-PBE | optimized geometry

Cell and atoms, written as POSCAR:
```
Rb2In3Sn4
1.0
0.0000 6.3503 7.1811
3.3109 0.0000 7.1811
3.3109 6.3503 0.0000
Rb In Sn
2 3 4
direct
0.1341 0.1341 0.8659
0.8659 0.8659 0.1341
0.0000 0.0000 0.5000
0.5000 0.5000 0.0000
0.5000 0.5000 0.5000
0.1578 0.5100 0.4900
0.4900 0.8422 0.1578
0.5100 0.1578 0.8422
0.8422 0.4900 0.5100
```

Computed properties:
The calculation puts the total energy at -26.247 eV/cell.

---

3.
TaH2Rh | GGA-PBE | optimized geometry

Cell and atoms, written as POSCAR:
```
TaH2Rh
1.0
-2.1060 2.1060 4.3893
2.1060 -2.1060 4.3893
2.1060 2.1060 -4.3893
Ta H Rh
2 4 2
direct
0.0000 0.0000 0.0000
0.7500 0.2500 0.5000
0.1484 0.6250 0.0234
0.3750 0.3984 0.5234
0.6016 0.1250 0.9766
0.8750 0.8516 0.4766
0.2500 0.7500 0.5000
0.5000 0.5000 0.0000
```

Computed properties:
The calculation puts the total energy at -52.410 eV/cell.

---

4.
LiTa2Cu2 | GGA-PBE | optimized geometry

Cell and atoms, written as POSCAR:
```
LiTa2Cu2
1.0
7.8936 0.0000 0.0000
0.0000 7.8936 0.0000
0.0000 0.0000 2.6606
Li Ta Cu
2 4 4
direct
0.0000 0.0000 0.0000
0.5000 0.5000 0.0000
0.1253 0.3747 0.0000
0.3747 0.8747 0.0000
0.6253 0.1253 0.0000
0.8747 0.6253 0.0000
0.1703 0.6703 0.5000
0.3297 0.1703 0.5000
0.6703 0.8297 0.5000
0.8297 0.3297 0.5000
```

Computed properties:
The calculation puts the total energy at -64.483 eV/cell.

---

5.
BaFe4Bi2 | GGA-PBE | optimized geometry

Cell and atoms, written as POSCAR:
```
BaFe4Bi2
1.0
-2.5116 2.5116 7.6949
2.5116 -2.5116 7.6949
2.5116 2.5116 -7.6949
Ba Fe Bi
1 4 2
direct
0.0000 0.0000 0.0000
0.0000 0.5000 0.5000
0.2191 0.2191 0.0000
0.5000 0.0000 0.5000
0.7809 0.7809 0.0000
0.3924 0.3924 0.0000
0.6076 0.6076 0.0000
```

Computed properties:
The calculation puts the total energy at -32.877 eV/cell.

---

6.
Zn2Ir2Pb | GGA-PBE | optimized geometry

Cell and atoms, written as POSCAR:
```
Zn2Ir2Pb
1.0
-1.9568 1.9568 5.9156
1.9568 -1.9568 5.9156
1.9568 1.9568 -5.9156
Zn Ir Pb
2 2 1
direct
0.2500 0.7500 0.5000
0.7500 0.2500 0.5000
0.1093 0.1093 0.0000
0.8907 0.8907 0.0000
0.5000 0.5000 0.0000
```

Computed properties:
The calculation puts the total energy at -23.136 eV/cell.

---

7.
HoZrFeNi | GGA-PBE | optimized geometry

Cell and atoms, written as POSCAR:
```
HoZrFeNi
1.0
0.0000 3.2562 3.2562
3.2562 0.0000 3.2562
3.2562 3.2562 0.0000
Ho Zr Fe Ni
1 1 1 1
direct
0.0000 0.0000 0.0000
0.5000 0.5000 0.5000
0.7500 0.7500 0.7500
0.2500 0.2500 0.2500
```

Computed properties:
The calculation puts the total energy at -28.017 eV/cell.

---

8.
Pm3Co2Sn7 | GGA-PBE | optimized geometry

Cell and atoms, written as POSCAR:
```
Pm3Co2Sn7
1.0
4.5850 0.0000 0.0000
0.0000 4.5713 0.0000
-2.2903 0.0000 13.7157
Pm Co Sn
3 2 7
direct
0.0000 0.0000 0.0000
0.3153 0.5000 0.6296
0.6847 0.5000 0.3704
0.1281 0.0000 0.2555
0.8719 0.0000 0.7445
0.0903 0.5000 0.1810
0.2177 0.0000 0.4350
0.4089 0.0000 0.8185
0.5000 0.5000 0.0000
0.5911 0.0000 0.1815
0.7823 0.0000 0.5650
0.9097 0.5000 0.8190
```

Computed properties:
The calculation puts the total energy at -62.656 eV/cell.

---

9.
TbNd2Sm | GGA-PBE | optimized geometry

Cell and atoms, written as POSCAR:
```
TbNd2Sm
1.0
1.8260 1.0542 11.8085
-1.8260 1.0542 11.8085
0.0000 -2.1084 11.8085
Tb Nd Sm
1 2 1
direct
0.0000 0.0000 0.0000
0.4155 0.4155 0.4155
0.5835 0.5835 0.5835
0.8327 0.8327 0.8327
```

Computed properties:
The calculation puts the total energy at -18.825 eV/cell.

---

10.
BaBe2Tl | GGA-PBE | optimized geometry

Cell and atoms, written as POSCAR:
```
BaBe2Tl
1.0
0.0000 3.5611 3.5611
3.5611 0.0000 3.5611
3.5611 3.5611 0.0000
Ba Be Tl
1 2 1
direct
0.0000 0.0000 0.0000
0.2500 0.2500 0.2500
0.7500 0.7500 0.7500
0.5000 0.5000 0.5000
```

Computed properties:
The calculation puts the total energy at -9.436 eV/cell.

---

11.
Li2HgH | GGA-PBE | optimized geometry

Cell and atoms, written as POSCAR:
```
Li2HgH
1.0
0.0000 3.1735 3.1735
3.1735 0.0000 3.1735
3.1735 3.1735 0.0000
Li Hg H
2 1 1
direct
0.2500 0.2500 0.2500
0.7500 0.7500 0.7500
0.0000 0.0000 0.0000
0.5000 0.5000 0.5000
```

Computed properties:
The calculation puts the total energy at -7.131 eV/cell.

---

12.
YH2Pd | GGA-PBE | optimized geometry

Cell and atoms, written as POSCAR:
```
YH2Pd
1.0
0.0000 2.9002 2.9002
2.9002 0.0000 2.9002
2.9002 2.9002 0.0000
Y H Pd
1 2 1
direct
0.0000 0.0000 0.0000
0.2500 0.2500 0.2500
0.7500 0.7500 0.7500
0.5000 0.5000 0.5000
```

Computed properties:
The calculation puts the total energy at -19.636 eV/cell.

---

Q: Number 9 is which compound?
A: TbNd2Sm

---

Q: Number 8 is which compound?
A: Pm3Co2Sn7